Here is a relaxed structure of LaNb3Tl4O12 from Alexandria. Energies are from GGA-PBE.

Results
- Formation energy (no corrections): -37.7 eV per formula unit
- D(E_F): 10.1 states/eV/f.u.
- M_tot: 0.00 μB per atom
- Final energy: -0.521 Ry/atom
- Crystal system: cubic
- SG: Im-3m (229)

Lattice parameters (Å, degrees): 7.3418 7.3418 7.3418 109.47 109.47 109.47
Positions (direct):
1 La 0.0000 0.0000 0.0000
2 Nb 0.5000 0.0000 0.5000
3 Nb 0.5000 0.5000 0.0000
4 Nb 0.0000 0.5000 0.5000
5 Tl 0.5000 0.5000 0.5000
6 Tl 0.0000 0.0000 0.5000
7 Tl 0.5000 0.0000 0.0000
8 Tl 0.0000 0.5000 0.0000
9 O 0.2500 0.5000 0.7500
10 O 0.7270 0.0000 0.7270
11 O 0.2730 0.0000 0.2730
12 O 0.7500 0.5000 0.2500
13 O 0.7270 0.7270 0.0000
14 O 0.2730 0.2730 0.0000
15 O 0.7500 0.2500 0.5000
16 O 0.2500 0.7500 0.5000
17 O 0.5000 0.2500 0.7500
18 O 0.0000 0.7270 0.7270
19 O 0.5000 0.7500 0.2500
20 O 0.0000 0.2730 0.2730